Compound: SrNb2Sb
Source: Alexandria via LeMat-Bulk
Functional: PBE
Structure: optimized geometry

Summary:
Space group: I-42d
Formation energy (no corrections): 69.6 kJ per mole of atoms
D(E_F): 3.84 states/eV/f.u.
M_tot: 0.00 μB per formula unit

a = 8.3934 Å, b = 8.3934 Å, c = 6.6347 Å
α = 50.76°, β = 50.76°, γ = 90.00°
Fractional coordinates of all 8 atoms:
Sb 0.7500 0.2500 0.5000
Sb 0.0000 0.0000 0.0000
Nb 0.0728 0.6250 0.2500
Nb 0.6772 0.1250 0.2500
Sr 0.2500 0.7500 0.5000
Sr 0.5000 0.5000 0.0000
Nb 0.3750 0.3228 0.7500
Nb 0.8750 0.9272 0.7500